PBE Pr2AsPb, relaxed; energy of formation = -1.019 eV/atom; DFT total energy = -44.0 eV/cell; size of the total moment = 0.00 μB/cell
1.0
2.2648 -12.1831 0.0000
2.2648 12.1831 0.0000
0.0000 0.0000 4.4315
Pr As Pb
4 2 2
Direct
0.0692 0.9308 0.7500
0.3099 0.6901 0.7500
0.6901 0.3099 0.2500
0.9308 0.0692 0.2500
0.1890 0.8110 0.7500
0.8110 0.1890 0.2500
0.4528 0.5472 0.7500
0.5472 0.4528 0.2500